[1]
# BaPb PBE relaxed
data_BaPb
_cell_length_a 4.2738
_cell_length_b 4.2738
_cell_length_c 9.8602
_cell_angle_alpha 90.00
_cell_angle_beta 90.00
_cell_angle_gamma 90.00
_space_group_name_H-M_alt 'P 4/n m m'
_space_group_IT_number 129
loop_
_space_group_symop_operation_xyz
'x,y,z'
'-x,-y,-z'
'-y+1/2,x,z'
'y+1/2,-x,-z'
'-x+1/2,-y+1/2,z'
'x+1/2,y+1/2,-z'
'y,-x+1/2,z'
'-y,x+1/2,-z'
'x+1/2,-y,-z'
'-x+1/2,y,z'
'-y,-x,-z'
'y,x,z'
'-x,y+1/2,-z'
'x,-y+1/2,z'
'y+1/2,x+1/2,-z'
'-y+1/2,-x+1/2,z'
loop_
_atom_site_label
_atom_site_type_symbol
_atom_site_fract_x
_atom_site_fract_y
_atom_site_fract_z
Ba1 Ba 0.2500 0.2500 0.1935
Pb1 Pb 0.2500 0.2500 0.5680
# **Calculated formation energy**: -0.25 eV/atom

---

[2]
# BaPb2 PBE relaxed
data_BaPb2
_cell_length_a 5.1901
_cell_length_b 5.1901
_cell_length_c 31.5877
_cell_angle_alpha 90.00
_cell_angle_beta 90.00
_cell_angle_gamma 90.00
_space_group_name_H-M_alt 'I 41/a m d'
_space_group_IT_number 141
loop_
_space_group_symop_operation_xyz
'x,y,z'
'-x,-y,-z'
'-y+1/4,x+3/4,z+1/4'
'y+1/4,-x+3/4,-z+1/4'
'-x+1/2,-y,z+1/2'
'x+1/2,y,-z+1/2'
'y+1/4,-x+1/4,z+3/4'
'-y+1/4,x+1/4,-z+3/4'
'x,-y,-z'
'-x,y,z'
'-y+1/4,-x+1/4,-z+3/4'
'y+1/4,x+1/4,z+3/4'
'-x+1/2,y,-z+1/2'
'x+1/2,-y,z+1/2'
'y+1/4,x+3/4,-z+1/4'
'-y+1/4,-x+3/4,z+1/4'
'x+1/2,y+1/2,z+1/2'
'-x+1/2,-y+1/2,-z+1/2'
'-y+3/4,x+1/4,z+3/4'
'y+3/4,-x+1/4,-z+3/4'
'-x,-y+1/2,z'
'x,y+1/2,-z'
'y+3/4,-x+3/4,z+1/4'
'-y+3/4,x+3/4,-z+1/4'
'x+1/2,-y+1/2,-z+1/2'
'-x+1/2,y+1/2,z+1/2'
'-y+3/4,-x+3/4,-z+1/4'
'y+3/4,x+3/4,z+1/4'
'-x,y+1/2,-z'
'x,-y+1/2,z'
'y+3/4,x+1/4,-z+3/4'
'-y+3/4,-x+1/4,z+3/4'
loop_
_atom_site_label
_atom_site_type_symbol
_atom_site_fract_x
_atom_site_fract_y
_atom_site_fract_z
Ba1 Ba 0.0000 0.2500 0.2965
Pb1 Pb 0.0000 0.2500 0.1248
Pb2 Pb 0.0000 0.2500 0.7928
# **Calculated formation energy**: -0.36 eV/atom

---

[3]
# BaPb3 PBE relaxed
data_BaPb3
_cell_length_a 6.5440
_cell_length_b 6.5440
_cell_length_c 6.5440
_cell_angle_alpha 90.00
_cell_angle_beta 90.00
_cell_angle_gamma 90.00
_space_group_name_H-M_alt 'P m -3 m'
_space_group_IT_number 221
_space_group_name_Hall '-P 4 2 3'
loop_
_atom_site_label
_atom_site_type_symbol
_atom_site_fract_x
_atom_site_fract_y
_atom_site_fract_z
Ba1 Ba 0.0000 0.0000 0.0000
Pb1 Pb 0.0000 0.0000 0.5000
# **Calculated formation energy**: 1.00 eV/atom

---

[4]
# Ba5Pb3 PBE relaxed
data_Ba5Pb3
_cell_length_a 9.1382
_cell_length_b 9.1382
_cell_length_c 17.5761
_cell_angle_alpha 90.00
_cell_angle_beta 90.00
_cell_angle_gamma 90.00
_space_group_name_H-M_alt 'I 4/m c m'
_space_group_IT_number 140
_space_group_name_Hall '-I 4 2c'
loop_
_atom_site_label
_atom_site_type_symbol
_atom_site_fract_x
_atom_site_fract_y
_atom_site_fract_z
Ba1 Ba 0.0000 0.0000 0.0000
Ba2 Ba 0.1765 0.3235 0.1435
Pb1 Pb 0.0000 0.0000 0.2500
Pb2 Pb 0.1200 0.3800 0.5000
# **Calculated formation energy**: -0.54 eV/atom
# **ΔE to the lowest computed polymorph**: 0 meV/atom

---

[5]
# BaPb PBE relaxed
data_BaPb
_cell_length_a 3.8010
_cell_length_b 6.2562
_cell_length_c 7.2215
_cell_angle_alpha 90.00
_cell_angle_beta 90.00
_cell_angle_gamma 90.00
_space_group_name_H-M_alt 'P m m n'
_space_group_IT_number 59
loop_
_space_group_symop_operation_xyz
'x,y,z'
'-x,-y,-z'
'-x+1/2,-y+1/2,z'
'x+1/2,y+1/2,-z'
'x+1/2,-y,-z'
'-x+1/2,y,z'
'-x,y+1/2,-z'
'x,-y+1/2,z'
loop_
_atom_site_label
_atom_site_type_symbol
_atom_site_fract_x
_atom_site_fract_y
_atom_site_fract_z
Ba1 Ba 0.2500 0.2500 0.2496
Pb1 Pb 0.2500 0.2500 0.7496
# **Calculated formation energy**: -0.29 eV/atom

---

[6]
# BaPb3 PBE relaxed
data_BaPb3
_cell_length_a 11.6689
_cell_length_b 11.6689
_cell_length_c 3.5247
_cell_angle_alpha 90.00
_cell_angle_beta 90.00
_cell_angle_gamma 120.00
_space_group_name_H-M_alt 'R -3 m'
_space_group_IT_number 166
_space_group_name_Hall '-R 3 2"'
loop_
_atom_site_label
_atom_site_type_symbol
_atom_site_fract_x
_atom_site_fract_y
_atom_site_fract_z
Ba1 Ba 0.0000 0.0000 0.0000
Pb1 Pb 0.0000 0.5000 0.0000
# **Calculated formation energy**: -0.18 eV/atom

---

[7]
# BaPb2 PBE relaxed
data_BaPb2
_cell_length_a 4.9920
_cell_length_b 4.9920
_cell_length_c 19.3366
_cell_angle_alpha 90.00
_cell_angle_beta 90.00
_cell_angle_gamma 90.00
_space_group_name_H-M_alt 'I 41/a m d'
_space_group_IT_number 141
loop_
_space_group_symop_operation_xyz
'x,y,z'
'-x,-y,-z'
'-y+1/4,x+3/4,z+1/4'
'y+1/4,-x+3/4,-z+1/4'
'-x+1/2,-y,z+1/2'
'x+1/2,y,-z+1/2'
'y+1/4,-x+1/4,z+3/4'
'-y+1/4,x+1/4,-z+3/4'
'x,-y,-z'
'-x,y,z'
'-y+1/4,-x+1/4,-z+3/4'
'y+1/4,x+1/4,z+3/4'
'-x+1/2,y,-z+1/2'
'x+1/2,-y,z+1/2'
'y+1/4,x+3/4,-z+1/4'
'-y+1/4,-x+3/4,z+1/4'
'x+1/2,y+1/2,z+1/2'
'-x+1/2,-y+1/2,-z+1/2'
'-y+3/4,x+1/4,z+3/4'
'y+3/4,-x+1/4,-z+3/4'
'-x,-y+1/2,z'
'x,y+1/2,-z'
'y+3/4,-x+3/4,z+1/4'
'-y+3/4,x+3/4,-z+1/4'
'x+1/2,-y+1/2,-z+1/2'
'-x+1/2,y+1/2,z+1/2'
'-y+3/4,-x+3/4,-z+1/4'
'y+3/4,x+3/4,z+1/4'
'-x,y+1/2,-z'
'x,-y+1/2,z'
'y+3/4,x+1/4,-z+3/4'
'-y+3/4,-x+1/4,z+3/4'
loop_
_atom_site_label
_atom_site_type_symbol
_atom_site_fract_x
_atom_site_fract_y
_atom_site_fract_z
Ba1 Ba 0.0000 0.2500 0.3750
Pb1 Pb 0.0000 0.2500 0.7950
# **Calculated formation energy**: -0.40 eV/atom

---

[8]
# BaPb PBE relaxed
data_BaPb
_cell_length_a 7.1634
_cell_length_b 7.1634
_cell_length_c 7.0791
_cell_angle_alpha 90.00
_cell_angle_beta 90.00
_cell_angle_gamma 90.00
_space_group_name_H-M_alt 'P 42/m n m'
_space_group_IT_number 136
_space_group_name_Hall '-P 4n 2n'
loop_
_atom_site_label
_atom_site_type_symbol
_atom_site_fract_x
_atom_site_fract_y
_atom_site_fract_z
Ba1 Ba 0.1860 0.1860 0.0000
Pb1 Pb 0.1505 0.1505 0.5000
# **Calculated formation energy**: -0.33 eV/atom

---

[9]
# Ba3Pb PBE relaxed
data_Ba3Pb
_cell_length_a 5.5820
_cell_length_b 5.5820
_cell_length_c 11.5166
_cell_angle_alpha 90.00
_cell_angle_beta 90.00
_cell_angle_gamma 90.00
_space_group_name_H-M_alt 'I 4/m m m'
_space_group_IT_number 139
_space_group_name_Hall '-I 4 2'
loop_
_atom_site_label
_atom_site_type_symbol
_atom_site_fract_x
_atom_site_fract_y
_atom_site_fract_z
Ba1 Ba 0.0000 0.0000 0.0000
Ba2 Ba 0.0000 0.5000 0.2500
Pb1 Pb 0.0000 0.0000 0.5000
# **Calculated formation energy**: -0.25 eV/atom

---

[10]
# Ba4Pb PBE relaxed
data_Ba4Pb
_cell_length_a 8.3450
_cell_length_b 8.3450
_cell_length_c 8.3450
_cell_angle_alpha 90.00
_cell_angle_beta 90.00
_cell_angle_gamma 90.00
_space_group_name_H-M_alt 'I m -3 m'
_space_group_IT_number 229
_space_group_name_Hall '-I 4 2 3'
loop_
_atom_site_label
_atom_site_type_symbol
_atom_site_fract_x
_atom_site_fract_y
_atom_site_fract_z
Ba1 Ba 0.2500 0.2500 0.2500
Pb1 Pb 0.0000 0.0000 0.0000
# **Calculated formation energy**: -0.11 eV/atom
# **ΔE to the lowest computed polymorph**: 16 meV/atom

---

[11]
# BaPb2 PBE relaxed
data_BaPb2
_cell_length_a 8.2703
_cell_length_b 8.2703
_cell_length_c 6.1336
_cell_angle_alpha 90.00
_cell_angle_beta 90.00
_cell_angle_gamma 120.00
_space_group_name_H-M_alt 'P -6 2 m'
_space_group_IT_number 189
_space_group_name_Hall 'P -6 -2'
loop_
_atom_site_label
_atom_site_type_symbol
_atom_site_fract_x
_atom_site_fract_y
_atom_site_fract_z
Ba1 Ba 0.0000 0.0000 0.0000
Ba2 Ba 0.3333 0.6667 0.5000
Pb1 Pb 0.0000 0.2182 0.5000
Pb2 Pb 0.0000 0.4691 0.0000
# **Calculated formation energy**: -0.21 eV/atom

---

[12]
# BaPb PBE relaxed
data_BaPb
_cell_length_a 6.1761
_cell_length_b 6.1761
_cell_length_c 16.2682
_cell_angle_alpha 90.00
_cell_angle_beta 90.00
_cell_angle_gamma 120.00
_space_group_name_H-M_alt 'P -3 m 1'
_space_group_IT_number 164
_space_group_name_Hall '-P 3 2"'
loop_
_atom_site_label
_atom_site_type_symbol
_atom_site_fract_x
_atom_site_fract_y
_atom_site_fract_z
Ba1 Ba 0.0000 0.0000 0.2066
Ba2 Ba 0.3333 0.6667 0.0718
Ba3 Ba 0.3333 0.6667 0.4275
Pb1 Pb 0.0000 0.0000 0.4087
Pb2 Pb 0.3333 0.6667 0.6637
Pb3 Pb 0.3333 0.6667 0.8556
# **Calculated formation energy**: -0.41 eV/atom